(1)
# Ca2DyIn4, optimized geometry, DFT PBE-GGA
# * energy of formation from the pure elements: -2.3 eV per formula unit
# * E: -3.117 eV per atom
data_Ca2DyIn4
_cell_length_a 5.321
_cell_length_b 5.321
_cell_length_c 14.761
_cell_angle_alpha 90.00
_cell_angle_beta 90.00
_cell_angle_gamma 90.00
_space_group_name_H-M_alt 'I 4/m m m'
_space_group_IT_number 139
_space_group_name_Hall '-I 4 2'
loop_
_atom_site_label
_atom_site_fract_x
_atom_site_fract_y
_atom_site_fract_z
Ca1 0.000 0.000 0.248
Dy1 0.000 0.000 0.500
In1 0.000 0.500 0.110

---

(2)
# CaDy5In4, optimized geometry, DFT PBE-GGA
# * energy of formation from the pure elements: -3.5 eV per formula unit
# * excess energy over the best structure of this formula in the dataset: 0.0 meV/atom
# * E: -3.945 eV per atom
data_CaDy5In4
_cell_length_a 3.673
_cell_length_b 3.673
_cell_length_c 21.195
_cell_angle_alpha 90.00
_cell_angle_beta 90.00
_cell_angle_gamma 90.00
_space_group_name_H-M_alt 'P 4/m m m'
_space_group_IT_number 123
_space_group_name_Hall '-P 4 2'
loop_
_atom_site_label
_atom_site_fract_x
_atom_site_fract_y
_atom_site_fract_z
Ca1 0.000 0.000 0.000
Dy1 0.500 0.500 0.130
Dy2 0.500 0.500 0.314
Dy3 0.500 0.500 0.500
In1 0.000 0.000 0.220
In2 0.000 0.000 0.407

---

(3)
# Ca2DyIn, optimized geometry, DFT PBE-GGA
# * energy of formation from the pure elements: -0.4 eV per formula unit
# * excess energy over the best structure of this formula in the dataset: 106.0 meV/atom
# * E: -2.947 eV per atom
data_Ca2DyIn
_cell_length_a 4.178
_cell_length_b 4.178
_cell_length_c 7.327
_cell_angle_alpha 90.00
_cell_angle_beta 90.00
_cell_angle_gamma 90.00
_space_group_name_H-M_alt 'P 4/m m m'
_space_group_IT_number 123
_space_group_name_Hall '-P 4 2'
loop_
_atom_site_label
_atom_site_fract_x
_atom_site_fract_y
_atom_site_fract_z
Ca1 0.000 0.000 0.234
Dy1 0.500 0.500 0.500
In1 0.500 0.500 0.000

---

(4)
# Ca2DyIn3, optimized geometry, DFT PBE-GGA
# * energy of formation from the pure elements: -2.8 eV per formula unit
# * E: -3.270 eV per atom
data_Ca2DyIn3
_cell_length_a 3.826
_cell_length_b 3.826
_cell_length_c 11.409
_cell_angle_alpha 90.00
_cell_angle_beta 90.00
_cell_angle_gamma 90.00
_space_group_name_H-M_alt 'P 4/m m m'
_space_group_IT_number 123
_space_group_name_Hall '-P 4 2'
loop_
_atom_site_label
_atom_site_fract_x
_atom_site_fract_y
_atom_site_fract_z
Ca1 0.000 0.000 0.167
Dy1 0.000 0.000 0.500
In1 0.500 0.500 0.000
In2 0.500 0.500 0.340

---

(5)
# CaDy2In2, optimized geometry, DFT PBE-GGA
# * energy of formation from the pure elements: -1.9 eV per formula unit
# * excess energy over the best structure of this formula in the dataset: 0.0 meV/atom
# * E: -3.708 eV per atom
data_CaDy2In2
_cell_length_a 5.349
_cell_length_b 5.358
_cell_length_c 6.507
_cell_angle_alpha 65.96
_cell_angle_beta 65.79
_cell_angle_gamma 60.10
_space_group_name_H-M_alt 'P -1'
_space_group_IT_number 2
loop_
_space_group_symop_operation_xyz
'x,y,z'
'-x,-y,-z'
loop_
_atom_site_label
_atom_site_fract_x
_atom_site_fract_y
_atom_site_fract_z
Ca1 0.000 0.000 0.000
Dy1 0.219 0.221 0.341
In1 0.415 0.411 0.758

---

(6)
# Ca5DyIn6, optimized geometry, DFT PBE-GGA
# * energy of formation from the pure elements: -5.6 eV per formula unit
# * E: -3.056 eV per atom
data_Ca5DyIn6
_cell_length_a 16.999
_cell_length_b 7.773
_cell_length_c 5.392
_cell_angle_alpha 90.00
_cell_angle_beta 108.02
_cell_angle_gamma 90.00
_space_group_name_H-M_alt 'C 1 2/m 1'
_space_group_IT_number 12
loop_
_space_group_symop_operation_xyz
'x,y,z'
'-x,-y,-z'
'-x,y,-z'
'x,-y,z'
'x+1/2,y+1/2,z'
'-x+1/2,-y+1/2,-z'
'-x+1/2,y+1/2,-z'
'x+1/2,-y+1/2,z'
loop_
_atom_site_label
_atom_site_fract_x
_atom_site_fract_y
_atom_site_fract_z
Ca1 0.000 0.000 0.000
Ca2 0.166 0.000 0.665
Ca3 0.171 0.500 0.670
Dy1 0.000 0.500 0.000
In1 0.000 0.257 0.500
In2 0.164 0.254 0.162

---

(7)
# CaDy3In2, optimized geometry, DFT PBE-GGA
# * energy of formation from the pure elements: -1.3 eV per formula unit
# * excess energy over the best structure of this formula in the dataset: 154.0 meV/atom
# * E: -3.761 eV per atom
data_CaDy3In2
_cell_length_a 16.189
_cell_length_b 5.444
_cell_length_c 9.191
_cell_angle_alpha 90.00
_cell_angle_beta 117.79
_cell_angle_gamma 90.00
_space_group_name_H-M_alt 'C 1 2/m 1'
_space_group_IT_number 12
loop_
_space_group_symop_operation_xyz
'x,y,z'
'-x,-y,-z'
'-x,y,-z'
'x,-y,z'
'x+1/2,y+1/2,z'
'-x+1/2,-y+1/2,-z'
'-x+1/2,y+1/2,-z'
'x+1/2,-y+1/2,z'
loop_
_atom_site_label
_atom_site_fract_x
_atom_site_fract_y
_atom_site_fract_z
Ca1 0.135 0.000 0.184
Dy1 0.060 0.000 0.712
Dy2 0.115 0.500 0.538
Dy3 0.190 0.500 0.992
In1 0.024 0.500 0.170
In2 0.228 0.000 0.604

---

(8)
# CaDyInIr, optimized geometry, DFT PBE-GGA
# * energy of formation from the pure elements: -1.6 eV per formula unit
# * E: -4.962 eV per atom
data_CaDyInIr
_cell_length_a 7.166
_cell_length_b 7.166
_cell_length_c 7.166
_cell_angle_alpha 90.00
_cell_angle_beta 90.00
_cell_angle_gamma 90.00
_space_group_name_H-M_alt 'F -4 3 m'
_space_group_IT_number 216
_space_group_name_Hall 'F -4 2 3'
loop_
_atom_site_label
_atom_site_fract_x
_atom_site_fract_y
_atom_site_fract_z
Ca1 0.000 0.000 0.000
Dy1 0.000 0.000 0.500
In1 0.250 0.250 0.250
Ir1 0.250 0.250 0.750